Material: Sr2Fe2As2N
Method: DFT, PBE
State: relaxed

The calculation puts the energy at -85.69 eV for the cell shown.

The space group is C2/m (No. 12) and the conventional cell measures 11.078, 3.947 and 7.171 Å, with angles of 90.00, 123.79 and 90.00 degrees. The distinct sites, in fractional coordinates, are Sr at (0.055, 0.000, 0.302), Fe at (0.178, 0.500, 0.062), As at (0.190, 0.500, 0.745) and N at (0.000, 0.500, 0.000).

Material: FeTe2AsN
Method: DFT, PBE
State: relaxed

The calculation puts the energy at -21.06 eV for the cell shown. The offset from the most stable computed form comes out at 1.0022 eV/atom.

The space group is P4/mmm (No. 123) and the conventional cell measures 5.476, 5.476 and 3.540 Å, with angles of 90.00, 90.00 and 90.00 degrees. The distinct sites, in fractional coordinates, are Fe at (0.000, 0.000, 0.000), Te at (0.000, 0.500, 0.500), As at (0.500, 0.500, 0.500) and N at (0.500, 0.500, 0.000).

Material: FeTe2AsN
Method: DFT, PBE
State: relaxed

The calculation puts the energy at -26.07 eV for the cell shown. The offset from the most stable computed form comes out at 0.0000 eV/atom.

The space group is P4/mmm (No. 123) and the conventional cell measures 5.277, 5.277 and 3.435 Å, with angles of 90.00, 90.00 and 90.00 degrees. The distinct sites, in fractional coordinates, are Fe at (0.000, 0.000, 0.000), Te at (0.000, 0.500, 0.000), As at (0.500, 0.500, 0.500) and N at (0.000, 0.000, 0.500).

Material: TiFeAsN2
Method: DFT, PBE
State: relaxed

The calculation puts the energy at -34.34 eV for the cell shown.

The space group is P4/mmm (No. 123) and the conventional cell measures 3.817, 3.817 and 5.404 Å, with angles of 90.00, 90.00 and 90.00 degrees. The distinct sites, in fractional coordinates, are Ti at (0.000, 0.000, 0.000), Fe at (0.500, 0.500, 0.500), As at (0.000, 0.000, 0.500) and N at (0.000, 0.500, 0.000).

Material: UFeAsN
Method: DFT, PBE
State: relaxed

The calculation puts the energy at -72.74 eV for the cell shown.

The space group is P4/nmm (No. 129, origin choice 2) and the conventional cell measures 3.882, 3.882 and 7.706 Å, with angles of 90.00, 90.00 and 90.00 degrees. The distinct sites, in fractional coordinates, are U at (0.250, 0.250, 0.150), Fe at (0.250, 0.750, 0.500), As at (0.250, 0.250, 0.662) and N at (0.250, 0.750, 0.000).

Material: Y2FeAsN
Method: DFT, PBE
State: relaxed

The calculation puts the energy at -31.46 eV for the cell shown.

The space group is P4/mmm (No. 123) and the conventional cell measures 5.341, 5.341 and 4.233 Å, with angles of 90.00, 90.00 and 90.00 degrees. The distinct sites, in fractional coordinates, are Y at (0.000, 0.500, 0.000), Fe at (0.000, 0.000, 0.500), As at (0.000, 0.000, 0.000) and N at (0.500, 0.500, 0.500).